1.
Compound: Zn4Cu
Source: Alexandria
Functional: PBE
Structure: relaxed

abc: 6.938 6.938 6.938
angles: 150.95 150.95 41.55
Atoms (fractional coordinates):
Zn 0.094 0.094 0.000
Zn 0.250 0.750 0.500
Zn 0.750 0.250 0.500
Zn 0.906 0.906 0.000
Cu 0.500 0.500 0.000

## Properties
Space-group type: No. 139
Formation enthalpy at 0 K (kJ per mole of atoms): 18.73

=====

2.
Compound: ZnCu2
Source: Alexandria
Functional: PBE
Structure: relaxed

abc: 4.114 4.114 2.558
angles: 92.05 92.05 61.41
Atoms (fractional coordinates):
Zn 0.000 0.000 0.000
Cu 0.334 0.334 0.661
Cu 0.666 0.666 0.339

## Properties
Space-group type: No. 12
Formation enthalpy at 0 K (kJ per mole of atoms): -4.12

=====

3.
Compound: Zn3Cu2
Source: Alexandria
Functional: PBE
Structure: relaxed

abc: 10.784 10.784 10.784
angles: 14.38 14.38 14.38
Atoms (fractional coordinates):
Zn 0.000 0.000 0.000
Zn 0.203 0.203 0.203
Zn 0.797 0.797 0.797
Cu 0.399 0.399 0.399
Cu 0.601 0.601 0.601

## Properties
Space-group type: No. 166
Formation enthalpy at 0 K (kJ per mole of atoms): -3.58

=====

4.
Compound: Zn2Cu
Source: Alexandria
Functional: PBE
Structure: relaxed

abc: 2.703 2.703 6.795
angles: 90.00 90.00 120.00
Atoms (fractional coordinates):
Zn 0.000 0.000 0.193
Zn 0.000 0.000 0.807
Cu 0.333 0.667 0.500

## Properties
Space-group type: No. 187
Formation enthalpy at 0 K (kJ per mole of atoms): 2.87

=====

5.
Compound: Zn3Cu4
Source: Alexandria
Functional: PBE
Structure: relaxed

abc: 4.841 4.841 4.648
angles: 90.00 90.00 120.00
Atoms (fractional coordinates):
Zn 0.000 0.500 0.000
Zn 0.500 0.000 0.000
Zn 0.500 0.500 0.000
Cu 0.000 0.000 0.255
Cu 0.000 0.000 0.745
Cu 0.333 0.667 0.500
Cu 0.667 0.333 0.500

## Properties
Space-group type: No. 191
Formation enthalpy at 0 K (kJ per mole of atoms): 7.84

=====

6.
Compound: Zn13Cu3
Source: Alexandria
Functional: PBE
Structure: relaxed

abc: 5.587 6.375 6.375
angles: 83.82 90.00 90.00
Atoms (fractional coordinates):
Zn 0.000 0.000 0.000
Zn 0.000 0.435 0.919
Zn 0.000 0.508 0.508
Zn 0.000 0.919 0.435
Zn 0.251 0.251 0.251
Zn 0.255 0.168 0.678
Zn 0.255 0.678 0.168
Zn 0.500 0.426 0.921
Zn 0.500 0.510 0.510
Zn 0.500 0.921 0.426
Zn 0.745 0.168 0.678
Zn 0.745 0.678 0.168
Zn 0.749 0.251 0.251
Cu 0.256 0.758 0.758
Cu 0.500 0.008 0.008
Cu 0.744 0.758 0.758

## Properties
Space-group type: No. 38
Formation enthalpy at 0 K (kJ per mole of atoms): -3.66

=====

7.
Compound: Zn4Cu
Source: Alexandria
Functional: PBE
Structure: relaxed

abc: 2.727 3.886 6.988
angles: 104.11 97.96 91.15
Atoms (fractional coordinates):
Zn 0.100 0.095 0.192
Zn 0.303 0.305 0.606
Zn 0.697 0.695 0.394
Zn 0.900 0.905 0.808
Cu 0.500 0.500 0.000

## Properties
Space-group type: No. 2
Formation enthalpy at 0 K (kJ per mole of atoms): -1.14

=====

8.
Compound: Zn5Cu7
Source: Alexandria
Functional: PBE
Structure: relaxed

abc: 6.015 6.015 8.178
angles: 116.27 116.27 36.17
Atoms (fractional coordinates):
Zn 0.000 0.000 0.000
Zn 0.160 0.160 0.496
Zn 0.253 0.253 0.243
Zn 0.747 0.747 0.757
Zn 0.840 0.840 0.504
Cu 0.084 0.084 0.752
Cu 0.336 0.336 0.002
Cu 0.417 0.417 0.751
Cu 0.500 0.500 0.500
Cu 0.583 0.583 0.249
Cu 0.664 0.664 0.998
Cu 0.916 0.916 0.248

## Properties
Space-group type: No. 12
Formation enthalpy at 0 K (kJ per mole of atoms): -6.95